The following is a DFT calculation (PBE) of a relaxed structure of SmMgIn.

Values from the calculation:
* space group: P-62m, No. 189
* total magnetization: 0.0 Bohr magnetons per cell
* calculated total energy: -30.75 eV per cell

abc: 7.6316 7.6316 4.7326
angles: 90.00 90.00 120.00
Sites, in units of the cell vectors:
Sm 0.0000 0.5671 0.0000
Sm 0.4329 0.4329 0.0000
Sm 0.5671 0.0000 0.0000
Mg 0.0000 0.2416 0.5000
Mg 0.2416 0.0000 0.5000
Mg 0.7584 0.7584 0.5000
In 0.0000 0.0000 0.0000
In 0.3333 0.6667 0.5000
In 0.6667 0.3333 0.5000